# 1
# GGA-PBE HoInB, optimized geometry
# Distance to the lowest polymorph of the same formula: 0.000 eV/f.u.
# Electronic total energy: -4.660 eV/atom
# M_tot: 0.001 μB per cell
data_HoInB
_chemical_formula_sum 'Ho4 In4 B4'
_cell_length_a 6.095
_cell_length_b 6.095
_cell_length_c 6.095
_cell_angle_alpha 90.00
_cell_angle_beta 90.00
_cell_angle_gamma 90.00
_symmetry_space_group_name_H-M 'F -4 3 m'
_symmetry_Int_Tables_number 216
_symmetry_space_group_name_Hall 'F -4 2 3'
loop_
_atom_site_label
_atom_site_type_symbol
_atom_site_fract_x
_atom_site_fract_y
_atom_site_fract_z
Ho1 Ho 0.000 0.000 0.000
In1 In 0.000 0.000 0.500
B1 B 0.250 0.250 0.250

=====

# 2
# GGA-PBE Ho4InB2S, optimized geometry
# Electronic total energy: -5.376 eV/atom
# M_tot: 0.180 μB per cell
data_Ho4InB2S
_chemical_formula_sum 'Ho4 In1 B2 S1'
_cell_length_a 3.6712
_cell_length_b 3.6712
_cell_length_c 15.1852
_cell_angle_alpha 90.00
_cell_angle_beta 90.00
_cell_angle_gamma 120.00
_symmetry_space_group_name_H-M 'P -6 m 2'
_symmetry_Int_Tables_number 187
_symmetry_space_group_name_Hall 'P -6 2'
loop_
_atom_site_label
_atom_site_type_symbol
_atom_site_fract_x
_atom_site_fract_y
_atom_site_fract_z
Ho1 Ho 0.0000 0.0000 0.1217
Ho2 Ho 0.6667 0.3333 0.3227
In1 In 0.0000 0.0000 0.5000
B1 B 0.3333 0.6667 0.2238
S1 S 0.6667 0.3333 0.0000

=====

# 3
# GGA-PBE Ho4TlInB2, optimized geometry
# Electronic total energy: -4.708 eV/atom
# M_tot: 0.039 μB per cell
data_Ho4TlInB2
_chemical_formula_sum 'Ho4 Tl1 In1 B2'
_cell_length_a 3.6135
_cell_length_b 3.6135
_cell_length_c 16.8786
_cell_angle_alpha 90.00
_cell_angle_beta 90.00
_cell_angle_gamma 120.00
_symmetry_space_group_name_H-M 'P -6 m 2'
_symmetry_Int_Tables_number 187
_symmetry_space_group_name_Hall 'P -6 2'
loop_
_atom_site_label
_atom_site_type_symbol
_atom_site_fract_x
_atom_site_fract_y
_atom_site_fract_z
Ho1 Ho 0.0000 0.0000 0.1585
Ho2 Ho 0.3333 0.6667 0.3413
Tl1 Tl 0.0000 0.0000 0.5000
In1 In 0.3333 0.6667 0.0000
B1 B 0.6667 0.3333 0.2501

=====

# 4
# GGA-PBE HoTmInB, optimized geometry
# Electronic total energy: -4.748 eV/atom
# M_tot: 0.010 μB per cell
data_HoTmInB
_chemical_formula_sum 'Ho2 Tm2 In2 B2'
_cell_length_a 3.5849
_cell_length_b 3.5849
_cell_length_c 16.8326
_cell_angle_alpha 90.00
_cell_angle_beta 90.00
_cell_angle_gamma 120.00
_symmetry_space_group_name_H-M 'P -3 m 1'
_symmetry_Int_Tables_number 164
_symmetry_space_group_name_Hall '-P 3 2"'
loop_
_atom_site_label
_atom_site_type_symbol
_atom_site_fract_x
_atom_site_fract_y
_atom_site_fract_z
Ho1 Ho 0.3333 0.6667 0.0927
Tm1 Tm 0.3333 0.6667 0.4097
In1 In 0.3333 0.6667 0.7481
B1 B 0.0000 0.0000 0.0000
B2 B 0.0000 0.0000 0.5000

=====

# 5
# GGA-PBE HoTmInB, optimized geometry
# Electronic total energy: -4.748 eV/atom
# M_tot: 0.045 μB per cell
data_HoTmInB
_chemical_formula_sum 'Ho2 Tm2 In2 B2'
_cell_length_a 3.5821
_cell_length_b 3.5821
_cell_length_c 16.8267
_cell_angle_alpha 90.00
_cell_angle_beta 90.00
_cell_angle_gamma 120.00
_symmetry_space_group_name_H-M 'P -6 m 2'
_symmetry_Int_Tables_number 187
_symmetry_space_group_name_Hall 'P -6 2'
loop_
_atom_site_label
_atom_site_type_symbol
_atom_site_fract_x
_atom_site_fract_y
_atom_site_fract_z
Ho1 Ho 0.0000 0.0000 0.1596
Tm1 Tm 0.3333 0.6667 0.3427
In1 In 0.0000 0.0000 0.5000
In2 In 0.3333 0.6667 0.0000
B1 B 0.6667 0.3333 0.2516

=====

# 6
# GGA-PBE HoB4Ir4, optimized geometry
# Electronic total energy: -7.918 eV/atom
# M_tot: 0.002 μB per cell
data_HoB4Ir4
_chemical_formula_sum 'Ho2 B8 Ir8'
_cell_length_a 5.394
_cell_length_b 5.394
_cell_length_c 7.461
_cell_angle_alpha 90.00
_cell_angle_beta 90.00
_cell_angle_gamma 90.00
_symmetry_space_group_name_H-M 'P 42/n m c'
_symmetry_Int_Tables_number 137
loop_
_symmetry_equiv_pos_as_xyz
'x,y,z'
'-x,-y,-z'
'-y+1/2,x,z+1/2'
'y+1/2,-x,-z+1/2'
'-x+1/2,-y+1/2,z'
'x+1/2,y+1/2,-z'
'y,-x+1/2,z+1/2'
'-y,x+1/2,-z+1/2'
'x+1/2,-y,-z'
'-x+1/2,y,z'
'-y,-x,-z+1/2'
'y,x,z+1/2'
'-x,y+1/2,-z'
'x,-y+1/2,z'
'y+1/2,x+1/2,-z+1/2'
'-y+1/2,-x+1/2,z+1/2'
loop_
_atom_site_label
_atom_site_type_symbol
_atom_site_fract_x
_atom_site_fract_y
_atom_site_fract_z
Ho1 Ho 0.250 0.750 0.250
B1 B 0.078 0.250 0.097
Ir1 Ir 0.001 0.750 0.606

=====

# 7
# GGA-PBE LaHoB2Ir2N2, optimized geometry
# Electronic total energy: -8.271 eV/atom
# M_tot: 0.007 μB per cell
data_LaHoB2Ir2N2
_chemical_formula_sum 'La1 Ho1 B2 Ir2 N2'
_cell_length_a 3.804
_cell_length_b 3.804
_cell_length_c 7.513
_cell_angle_alpha 90.00
_cell_angle_beta 90.00
_cell_angle_gamma 90.00
_symmetry_space_group_name_H-M 'P 4 m m'
_symmetry_Int_Tables_number 99
loop_
_symmetry_equiv_pos_as_xyz
'x,y,z'
'-y,x,z'
'-x,-y,z'
'y,-x,z'
'-x,y,z'
'y,x,z'
'x,-y,z'
'-y,-x,z'
loop_
_atom_site_label
_atom_site_type_symbol
_atom_site_fract_x
_atom_site_fract_y
_atom_site_fract_z
La1 La 0.000 0.000 0.000
Ho1 Ho 0.500 0.500 0.331
B1 B 0.000 0.000 0.517
B2 B 0.500 0.500 0.820
Ir1 Ir 0.000 0.500 0.662
N1 N 0.000 0.000 0.318
N2 N 0.500 0.500 0.021

=====

# 8
# GGA-PBE Ho2NiB2IrN2, optimized geometry
# Electronic total energy: -7.875 eV/atom
# M_tot: 0.008 μB per cell
data_Ho2NiB2IrN2
_chemical_formula_sum 'Ho2 Ni1 B2 Ir1 N2'
_cell_length_a 3.573
_cell_length_b 3.573
_cell_length_c 7.526
_cell_angle_alpha 90.00
_cell_angle_beta 90.00
_cell_angle_gamma 90.00
_symmetry_space_group_name_H-M 'P -4 m 2'
_symmetry_Int_Tables_number 115
loop_
_symmetry_equiv_pos_as_xyz
'x,y,z'
'y,-x,-z'
'-x,-y,z'
'-y,x,-z'
'-x,y,z'
'-y,-x,-z'
'x,-y,z'
'y,x,-z'
loop_
_atom_site_label
_atom_site_type_symbol
_atom_site_fract_x
_atom_site_fract_y
_atom_site_fract_z
Ho1 Ho 0.000 0.500 0.162
Ni1 Ni 0.500 0.500 0.500
B1 B 0.000 0.500 0.660
Ir1 Ir 0.000 0.000 0.500
N1 N 0.000 0.500 0.857